VASP calculation (GGA-PBEsol) on an optimized crystal structure of CrTcMo2.

Calculated values
Total energy = -11.1739 eV per atom
DOS at the Fermi energy = 3.95 states/eV/f.u.
Magnetic moment = 0.0 Bohr magnetons per cell
SG = No. 99
E_form = 0.0871 eV per atom

abc: 3.0324 3.0324 6.1041
angles: 90.00 90.00 90.00
Last column: nearest neighbours and their distance in Å.
Element x y z (fractional)
1 Cr 0.5000 0.5000 0.7592  4 Mo 2.54, 4 Tc 2.65
2 Mo 0.0000 0.0000 0.9828  4 Cr 2.54, 4 Mo 2.71
3 Mo 0.5000 0.5000 0.2552  4 Tc 2.62, 4 Mo 2.71
4 Tc 0.0000 0.0000 0.5028  5 Mo 2.62-2.93, 4 Cr 2.65

=====

VASP calculation (GGA-PBEsol) on an optimized crystal structure of CrTcMo2.

Calculated values
Total energy = -11.1792 eV per atom
DOS at the Fermi energy = 3.88 states/eV/f.u.
Magnetic moment = 0.0 Bohr magnetons per cell
SG = No. 71
E_form = 0.0819 eV per atom

abc: 3.0323 4.3186 5.0242
angles: 115.45 107.56 90.00
Last column: nearest neighbours and their distance in Å.
Element x y z (fractional)
1 Cr 0.0000 0.5000 0.0000  4 Mo 2.58, 4 Tc 2.64
2 Mo 0.7439 0.7439 0.4877  2 Cr 2.58, 4 Mo 2.64, 2 Tc 2.66
3 Mo 0.2561 0.2561 0.5123  2 Cr 2.58, 4 Mo 2.64, 2 Tc 2.66
4 Tc 0.5000 0.0000 0.0000  4 Cr 2.64, 4 Mo 2.66

=====

VASP calculation (GGA-PBEsol) on an optimized crystal structure of Cr2TcMoW.

Calculated values
Total energy = -9.4321 eV per atom
DOS at the Fermi energy = 6.65 states/eV/f.u.
Magnetic moment = 0.4 Bohr magnetons per cell
SG = No. 123
E_form = 2.0330 eV per atom

abc: 4.2558 4.2558 4.7058
angles: 90.00 90.00 90.00
Last column: nearest neighbours and their distance in Å.
Element x y z (fractional)
1 Cr 0.0000 0.5000 0.0000  2 Mo 2.13
2 Cr 0.5000 0.0000 0.0000  2 Mo 2.13
3 Mo 0.0000 0.0000 0.0000  4 Cr 2.13, 2 W 2.35
4 Tc 0.5000 0.5000 0.5000  4 W 3.01, 8 Cr 3.17
5 W 0.0000 0.0000 0.5000  2 Mo 2.35

=====

VASP calculation (GGA-PBEsol) on an optimized crystal structure of Cr4TeMo.

Calculated values
Total energy = -9.0551 eV per atom
DOS at the Fermi energy = 6.76 states/eV/f.u.
Uncorrected formation energy = 0.3219 eV/atom
Magnetic moment = 0.0 Bohr magnetons per cell
SG = No. 216

abc: 4.8146 4.8146 4.8146
angles: 60.00 60.00 60.00
Last column: nearest neighbours and their distance in Å.
Element x y z (fractional)
1 Cr 0.3737 0.3737 0.3737  6 Cr 2.38-2.43
2 Cr 0.3737 0.3737 0.8790  6 Cr 2.38-2.43
3 Cr 0.8790 0.3737 0.3737  6 Cr 2.38-2.43
4 Cr 0.3737 0.8790 0.3737  6 Cr 2.38-2.43
5 Mo 0.7500 0.7500 0.7500  12 Cr 2.83, 4 Te 2.95
6 Te 0.0000 0.0000 0.0000  12 Cr 2.82, 4 Mo 2.95

=====

VASP calculation (GGA-PBEsol) on an optimized crystal structure of Cr3TeMo.

Calculated values
Total energy = -7.2552 eV per atom
DOS at the Fermi energy = 4.49 states/eV/f.u.
Uncorrected formation energy = 1.9488 eV/atom
Magnetic moment = 7.9 Bohr magnetons per cell
SG = No. 221

abc: 4.8816 4.8816 4.8816
angles: 90.00 90.00 90.00
Last column: nearest neighbours and their distance in Å.
Element x y z (fractional)
1 Cr 0.0000 0.5000 0.0000  2 Te 2.44
2 Cr 0.0000 0.0000 0.5000  2 Te 2.44
3 Cr 0.5000 0.0000 0.0000  2 Te 2.44
4 Mo 0.5000 0.5000 0.5000  12 Cr 3.45
5 Te 0.0000 0.0000 0.0000  6 Cr 2.44

=====

VASP calculation (GGA-PBEsol) on an optimized crystal structure of CrTeMo2.

Calculated values
Total energy = -8.8851 eV per atom
DOS at the Fermi energy = 4.54 states/eV/f.u.
Uncorrected formation energy = 0.4408 eV/atom
Magnetic moment = 1.2 Bohr magnetons per cell
SG = No. 123

abc: 3.1622 4.4439 4.4439
angles: 90.00 90.00 90.00
Last column: nearest neighbours and their distance in Å.
Element x y z (fractional)
1 Cr 0.5000 0.0000 0.0000  8 Mo 2.73
2 Mo 0.0000 0.0000 0.5000  4 Cr 2.73, 4 Te 2.73
3 Mo 0.0000 0.5000 0.0000  4 Te 2.73, 4 Cr 2.73
4 Te 0.5000 0.5000 0.5000  8 Mo 2.73

=====

VASP calculation (GGA-PBEsol) on an optimized crystal structure of Cr2TeMo.

Calculated values
Total energy = -8.4602 eV per atom
DOS at the Fermi energy = 3.82 states/eV/f.u.
Uncorrected formation energy = 0.4843 eV/atom
Magnetic moment = 2.6 Bohr magnetons per cell
SG = No. 139

abc: 4.0065 4.0065 4.6116
angles: 115.75 115.75 90.00
Last column: nearest neighbours and their distance in Å.
Element x y z (fractional)
1 Cr 0.7500 0.2500 0.5000  4 Mo 2.71, 4 Te 2.71, 4 Cr 2.83
2 Cr 0.2500 0.7500 0.5000  4 Mo 2.71, 4 Te 2.71, 4 Cr 2.83
3 Mo 0.5000 0.5000 0.0000  8 Cr 2.71, 4 Te 2.83
4 Te 0.0000 0.0000 0.0000  8 Cr 2.71, 4 Mo 2.83

=====

VASP calculation (GGA-PBEsol) on an optimized crystal structure of CrTeMo2.

Calculated values
Total energy = -8.8086 eV per atom
DOS at the Fermi energy = 4.49 states/eV/f.u.
Uncorrected formation energy = 0.5174 eV/atom
Magnetic moment = 0.1 Bohr magnetons per cell
SG = No. 160

abc: 3.0728 3.0728 8.1579
angles: 79.14 79.14 60.00
Last column: nearest neighbours and their distance in Å.
Element x y z (fractional)
1 Cr 0.2563 0.2563 0.2312  3 Mo 2.48, 3 Te 2.72
2 Mo 0.9956 0.9956 0.0132  3 Cr 2.48, 3 Mo 2.65
3 Mo 0.7448 0.7448 0.7657  3 Mo 2.65, 3 Te 2.82
4 Te 0.5034 0.5034 0.4899  3 Cr 2.72, 3 Mo 2.82

=====

VASP calculation (GGA-PBEsol) on an optimized crystal structure of TlCrMo.

Calculated values
Total energy = -7.1990 eV per atom
DOS at the Fermi energy = 3.03 states/eV/f.u.
Magnetic moment = 1.0 Bohr magnetons per cell
SG = No. 216
E_form = 1.0143 eV per atom

abc: 4.2630 4.2630 4.2630
angles: 60.00 60.00 60.00
Last column: nearest neighbours and their distance in Å.
Element x y z (fractional)
1 Cr 0.2500 0.2500 0.2500  4 Tl 2.61, 4 Mo 2.61
2 Mo 0.0000 0.0000 0.0000  4 Cr 2.61
3 Tl 0.5000 0.5000 0.5000  4 Cr 2.61

=====

VASP calculation (GGA-PBEsol) on an optimized crystal structure of TlCrMo2.

Calculated values
Total energy = -8.5994 eV per atom
DOS at the Fermi energy = 2.66 states/eV/f.u.
Magnetic moment = 0.0 Bohr magnetons per cell
SG = No. 123
E_form = 0.5026 eV per atom

abc: 3.2456 3.2456 6.1175
angles: 90.00 90.00 90.00
Last column: nearest neighbours and their distance in Å.
Element x y z (fractional)
1 Cr 0.5000 0.5000 0.5000  8 Mo 2.59
2 Mo 0.0000 0.0000 0.6967  1 Mo 2.41, 4 Cr 2.59
3 Mo 0.0000 0.0000 0.3033  1 Mo 2.41, 4 Cr 2.59
4 Tl 0.5000 0.5000 0.0000  8 Mo 2.95, 2 Cr 3.06, 4 Tl 3.25

=====

VASP calculation (GGA-PBEsol) on an optimized crystal structure of TlCr2Mo.

Calculated values
Total energy = -8.2708 eV per atom
DOS at the Fermi energy = 1.25 states/eV/f.u.
Magnetic moment = 2.8 Bohr magnetons per cell
SG = No. 123
E_form = 0.4497 eV per atom

abc: 3.1076 3.1076 6.2762
angles: 90.00 90.00 90.00
Last column: nearest neighbours and their distance in Å.
Element x y z (fractional)
1 Cr 0.0000 0.0000 0.7845  4 Mo 2.58, 1 Cr 2.70, 4 Tl 2.83
2 Cr 0.0000 0.0000 0.2155  4 Mo 2.58, 1 Cr 2.70, 4 Tl 2.83
3 Mo 0.5000 0.5000 0.0000  8 Cr 2.58
4 Tl 0.5000 0.5000 0.5000  8 Cr 2.83, 4 Tl 3.11, 2 Mo 3.14

=====

VASP calculation (GGA-PBEsol) on an optimized crystal structure of TlCrMo.

Calculated values
Total energy = -7.4930 eV per atom
DOS at the Fermi energy = 2.89 states/eV/f.u.
Magnetic moment = 1.0 Bohr magnetons per cell
SG = No. 156
E_form = 0.7204 eV per atom

abc: 2.8771 4.4069 4.4069
angles: 120.00 90.00 90.00
Last column: nearest neighbours and their distance in Å.
Element x y z (fractional)
1 Cr 0.9533 0.0000 0.0000  3 Mo 2.61, 3 Tl 2.73, 2 Cr 2.88
2 Mo 0.7490 0.3333 0.6667  3 Cr 2.61, 3 Tl 2.86, 2 Mo 2.88
3 Tl 0.2977 0.6667 0.3333  3 Cr 2.73, 6 Mo 2.86-2.99, 2 Tl 2.88